(1)
The following is a DFT calculation (GGA-PBEsol) of a relaxed structure of ScNbP2S.

Lattice parameters (Å, degrees): 4.6534 4.7705 4.7705 90.00 90.00 90.00
Atoms (fractional coordinates):
Sc 0.5000 0.5000 0.5000
P 0.0000 0.0000 0.5000
P 0.0000 0.5000 0.0000
Nb 0.0000 0.0000 0.0000
S 0.5000 0.0000 0.0000

Output
- Mass density: 3.6 g/cm3
- Raw total energy: -6.862 eV per atom
- Total moment: 0.00 μB/f.u.

(2)
The following is a DFT calculation (GGA-PBEsol) of a relaxed structure of Ca3RhO.

Lattice parameters (Å, degrees): 4.6238 4.6238 4.6238 90.00 90.00 90.00
Atoms (fractional coordinates):
Ca 0.0000 0.5000 0.0000
Ca 0.0000 0.0000 0.5000
Ca 0.5000 0.0000 0.0000
Rh 0.5000 0.5000 0.5000
O 0.0000 0.0000 0.0000

Output
- Mass density: 4.0 g/cm3
- Raw total energy: -5.201 eV per atom
- Total moment: 0.00 μB/f.u.

| no. | V (Å³ per atom) |
| --- | --- |
| 1 | 21.18 |
| 2 | 19.77 |